# 1
This record from Alexandria describes a relaxed structure of CePrZn. The functional is GGA-PBE.

It has space group I4mm (No. 107), with a = 3.6938 Å, b = 3.6938 Å, c = 12.2888 Å, α = 90.00°, β = 90.00° and γ = 90.00°. The inequivalent atoms are Ce at (0.0000, 0.0000, 0.0000), Pr at (0.0000, 0.0000, 0.7096) and Zn at (0.0000, 0.0000, 0.3582).

The value obtained for the formation energy is -10 kJ/mol of atoms. The energy above the most stable polymorph in this dataset is 23 meV/atom. As for the volume: 168 Å³/cell.



# 2
This record from Alexandria describes a relaxed structure of KSr3Ir. The functional is GGA-PBE.

It has space group C2/m (No. 12), with a = 18.6986 Å, b = 4.5300 Å, c = 12.7610 Å, α = 90.00°, β = 118.42° and γ = 90.00°. The inequivalent atoms are K at (0.1631, 0.0000, 0.0312), Sr at (0.0697, 0.0000, 0.2799), Sr at (0.0737, 0.5000, 0.6520), Sr at (0.2301, 0.0000, 0.6024) and Ir at (0.1174, 0.5000, 0.4510).

The value obtained for the formation energy is -6 kJ/mol of atoms. The energy above the most stable polymorph in this dataset is 41 meV/atom. As for the volume: 951 Å³/cell.



# 3
This record from Alexandria describes a relaxed structure of CoSiPt2. The functional is GGA-PBE.

It has space group Amm2 (No. 38), with a = 3.5684 Å, b = 2.7517 Å, c = 11.3098 Å, α = 90.00°, β = 90.00° and γ = 90.00°. The inequivalent atoms are Co at (0.0000, 0.0000, 0.0000), Si at (0.5000, 0.0000, 0.4282), Pt at (0.0000, 0.0000, 0.2873) and Pt at (0.5000, 0.0000, 0.6380).

As for the volume: 111 Å³/cell. The calculation puts the uncorrected formation energy at -366.3 meV/atom.



Question: Which value of volume does entry 2 give?
Answer: 951 Å³/cell